(1)
## Pa2GeOs (PBE)

Data for Pa2GeOs after structural relaxation.

```
Pa2GeOs
1.0
-0.8984 3.3604 -1.2605
-3.1257 -1.3712 -1.4278
-2.8886 1.1761 5.1942
Ge Pa Os
1 2 1
Direct
0.5000 0.5000 0.0000 Ge
0.0000 0.0000 0.7497 Pa
0.0000 0.0000 0.2503 Pa
0.5000 0.5000 0.5000 Os
```

space group: P4/mmm
calculated total energy: -36.22 eV per formula unit
energy of formation from the pure elements: -0.344 eV per atom
energy relative to the lowest polymorph listed for this composition: 132 meV/atom

---

(2)
## K2SrCr (PBE)

Data for K2SrCr after structural relaxation.

```
K2SrCr
1.0
-4.3480 -4.0032 -5.3065
4.1374 -3.3496 5.8951
-2.9605 -1.9201 2.3546
Cr K Sr
1 2 1
Direct
0.0000 0.5000 0.5000 Cr
0.0000 0.0000 0.0000 K
0.5000 0.5000 0.0000 K
0.5000 0.0000 0.5000 Sr
```

space group: C2/m
calculated total energy: -10.73 eV per formula unit
energy of formation from the pure elements: 0.693 eV per atom
energy relative to the lowest polymorph listed for this composition: 157 meV/atom

---

(3)
## NdDyRh (PBE)

Data for NdDyRh after structural relaxation.

```
NdDyRh
1.0
4.4873 -0.0096 0.0060
0.0123 5.8565 0.0489
-0.0131 -1.8944 6.2993
Nd Dy Rh
2 2 2
Direct
0.7522 0.5744 0.2853 Nd
0.2523 0.4333 0.7180 Nd
0.7522 0.9779 0.7987 Dy
0.2523 0.0298 0.2046 Dy
0.7523 0.1645 0.4502 Rh
0.2522 0.8433 0.5531 Rh
```

space group: P2_1/m
calculated total energy: -18.29 eV per formula unit
energy of formation from the pure elements: -0.524 eV per atom
energy relative to the lowest polymorph listed for this composition: 0 meV/atom

---

(4)
## Ac2BiPPd6 (PBE)

Data for Ac2BiPPd6 after structural relaxation.

```
Ac2BiPPd6
1.0
5.7536 0.0417 0.0190
-0.0617 8.3371 0.5371
2.8261 4.6963 5.0117
Ac Bi P Pd
2 1 1 6
Direct
0.7455 0.2678 0.5097 Ac
0.2545 0.7322 0.4903 Ac
0.0000 0.0000 0.0000 Bi
0.5000 0.5000 0.0000 P
0.2577 0.1226 0.4856 Pd
0.7542 0.7317 0.9836 Pd
0.2628 0.7318 0.9841 Pd
0.7372 0.2682 0.0159 Pd
0.2458 0.2683 0.0164 Pd
0.7423 0.8774 0.5144 Pd
```

space group: C2/m
calculated total energy: -55.73 eV per formula unit
energy of formation from the pure elements: -0.707 eV per atom

---

(5)
## K5Cd2Ag (PBE)

Data for K5Cd2Ag after structural relaxation.

```
K5Cd2Ag
1.0
-3.7499 -2.8677 0.2835
3.2173 -0.9419 -6.4176
12.9726 -16.0866 8.8645
K Cd Ag
10 4 2
Direct
0.9086 0.8173 0.8835 K
0.9086 0.8173 0.6165 K
0.3558 0.7116 0.4411 K
0.3558 0.7116 0.0589 K
0.4794 0.9589 0.2500 K
0.5206 0.0411 0.7500 K
0.6442 0.2884 0.5589 K
0.6442 0.2884 0.9411 K
0.0914 0.1827 0.1165 K
0.0914 0.1827 0.3835 K
0.7783 0.5567 0.3180 Cd
0.7783 0.5567 0.1820 Cd
0.2217 0.4433 0.6820 Cd
0.2217 0.4433 0.8180 Cd
0.7775 0.5550 0.7500 Ag
0.2225 0.4450 0.2500 Ag
```

space group: Cmcm
calculated total energy: -10.27 eV per formula unit
energy of formation from the pure elements: -0.012 eV per atom

---

(6)
## PaMn2H8 (PBE)

Data for PaMn2H8 after structural relaxation.

```
PaMn2H8
1.0
4.0975 0.0000 0.0000
0.0000 4.0975 0.0000
0.0000 0.0000 4.6472
Pa Mn H
1 2 8
Direct
0.5000 0.5000 0.5000 Pa
0.5000 0.0000 0.0000 Mn
0.0000 0.5000 0.0000 Mn
0.7905 0.7905 0.1943 H
0.7905 0.2095 0.8057 H
0.7905 0.7905 0.8057 H
0.7905 0.2095 0.1943 H
0.2095 0.7905 0.1943 H
0.2095 0.7905 0.8057 H
0.2095 0.2095 0.1943 H
0.2095 0.2095 0.8057 H
```

space group: P4/mmm
calculated total energy: -55.10 eV per formula unit

---

(7)
## TlGeAu2 (PBE)

Data for TlGeAu2 after structural relaxation.

```
TlGeAu2
1.0
4.0954 0.0000 0.0000
2.0477 3.5467 0.0000
2.0477 1.1822 6.3501
Tl Au Ge
1 2 1
Direct
0.5000 0.5000 0.5000 Tl
0.2650 0.2650 0.2051 Au
0.7350 0.7350 0.7949 Au
0.0000 0.0000 0.0000 Ge
```

space group: R-3m
calculated total energy: -13.39 eV per formula unit
energy of formation from the pure elements: 0.037 eV per atom
energy relative to the lowest polymorph listed for this composition: 50 meV/atom

---

(8)
## PuTh5Se8 (PBE)

Data for PuTh5Se8 after structural relaxation.

```
PuTh5Se8
1.0
-2.5305 4.4783 -5.6866
-5.9037 -3.7689 3.1205
3.3794 4.3474 5.3362
Pu Th Se
1 5 8
Direct
0.2500 0.5000 0.7500 Pu
0.9990 0.3729 0.1287 Th
0.8713 0.8703 0.2442 Th
0.7558 0.6271 0.6260 Th
0.5000 0.0000 0.5000 Th
0.3740 0.1297 0.0010 Th
0.1282 0.7496 0.0290 Se
0.9710 0.0992 0.7206 Se
0.7781 0.2476 0.3726 Se
0.6274 0.4055 0.8749 Se
0.4694 0.5945 0.2219 Se
0.6214 0.9008 0.8718 Se
0.2794 0.2504 0.3786 Se
0.1251 0.7524 0.5306 Se
```

space group: I-4
calculated total energy: -101.64 eV per formula unit
formation energy without anion corrections: -22.3 eV/f.u.

---

(9)
## TaNb4C4 (PBE)

Data for TaNb4C4 after structural relaxation.

```
TaNb4C4
1.0
4.2097 0.0000 1.6877
2.0683 4.9773 0.9351
0.2543 -0.0945 5.4598
Ta Nb C
1 4 4
Direct
0.0000 0.0000 0.0000 Ta
0.6076 0.5843 0.2004 Nb
0.3924 0.4157 0.7996 Nb
0.1919 0.2003 0.4158 Nb
0.8081 0.7997 0.5842 Nb
0.9028 0.3955 0.7990 C
0.0972 0.6045 0.2010 C
0.2982 0.7990 0.6046 C
0.7018 0.2010 0.3954 C
```

space group: I4/m
calculated total energy: -93.83 eV per formula unit
energy of formation from the pure elements: -0.533 eV per atom

---

(10)
## HoScGe2 (PBE)

Data for HoScGe2 after structural relaxation.

```
HoScGe2
1.0
-3.0283 -0.4022 0.6674
0.8848 -5.0006 1.0011
0.9385 1.1584 4.9567
Sc Ge Ho
1 2 1
Direct
0.5000 0.5000 0.5000 Sc
0.0000 0.0000 0.5000 Ge
0.0000 0.5000 0.0000 Ge
0.5000 0.0000 0.0000 Ho
```

space group: P4/mmm
calculated total energy: -22.39 eV per formula unit
energy of formation from the pure elements: -0.560 eV per atom
energy relative to the lowest polymorph listed for this composition: 266 meV/atom

---

(11)
## Na3BAu (PBE)

Data for Na3BAu after structural relaxation.

```
Na3BAu
1.0
5.1024 0.0000 0.0000
0.0000 5.1024 0.0000
0.0000 0.0000 5.1024
Na B Au
3 1 1
Direct
0.0000 0.5000 0.0000 Na
0.0000 0.0000 0.5000 Na
0.5000 0.0000 0.0000 Na
0.0000 0.0000 0.0000 B
0.5000 0.5000 0.5000 Au
```

space group: Pm-3m
calculated total energy: -10.40 eV per formula unit
energy of formation from the pure elements: 0.702 eV per atom
energy relative to the lowest polymorph listed for this composition: 0 meV/atom

---

(12)
## Bi2TeO5 (PBE)

Data for Bi2TeO5 after structural relaxation.

```
Bi2TeO5
1.0
8.8453 0.0024 0.0000
-7.0703 5.3151 0.0000
0.0000 0.0000 11.7228
Bi Te O
8 4 20
Direct
0.7441 0.2441 0.6164 Bi
0.2441 0.7441 0.3836 Bi
0.2615 0.7615 0.8701 Bi
0.7615 0.2615 0.1299 Bi
0.9430 0.1121 0.3924 Bi
0.1121 0.9430 0.6076 Bi
0.4430 0.6121 0.6076 Bi
0.6121 0.4430 0.3924 Bi
0.4419 0.6090 0.1331 Te
0.6090 0.4419 0.8669 Te
0.9419 0.1090 0.8669 Te
0.1090 0.9419 0.1331 Te
0.5588 0.8758 0.2132 O
0.8758 0.5588 0.7868 O
0.0588 0.3758 0.7868 O
0.3758 0.0588 0.2132 O
0.1393 0.4608 0.4858 O
0.4608 0.1393 0.5142 O
0.6393 0.9608 0.5142 O
0.9608 0.6393 0.4858 O
0.3922 0.8922 0.7033 O
0.8922 0.3922 0.2967 O
0.1359 0.4382 0.0677 O
0.4382 0.1359 0.9323 O
0.8960 0.8109 0.2585 O
0.8109 0.8960 0.7415 O
0.3960 0.3109 0.7415 O
0.3109 0.3960 0.2585 O
0.7375 0.7375 0.5000 O
0.2375 0.2375 0.5000 O
0.9382 0.6359 0.0677 O
0.6359 0.9382 0.9323 O
```

space group: Aem2
calculated total energy: -45.36 eV per formula unit
energy relative to the lowest polymorph listed for this composition: 0 meV/atom
formation energy without anion corrections: -9.7 eV/f.u.

---

(13)
## LiLa2AlPt (PBE)

Data for LiLa2AlPt after structural relaxation.

```
LiLa2AlPt
1.0
-5.1412 -1.3244 -1.8186
-0.5178 -2.9482 3.6110
-2.1628 4.1589 3.0854
Li Al Pt La
1 1 1 2
Direct
0.0000 0.5000 0.0000 Li
0.5000 0.5000 0.5000 Al
0.0000 0.0000 0.0000 Pt
0.0000 0.0000 0.5000 La
0.5000 0.0000 0.0000 La
```

space group: P4/mmm
calculated total energy: -23.33 eV per formula unit
energy of formation from the pure elements: -0.355 eV per atom

---

(14)
## Li3PrPb6 (PBE)

Data for Li3PrPb6 after structural relaxation.

```
Li3PrPb6
1.0
-1.0713 -2.6942 -4.0243
1.3831 -8.1132 5.0635
-10.8834 1.3334 2.0044
Li Pr Pb
6 2 12
Direct
0.2500 0.5598 0.4191 Li
0.7500 0.4402 0.5809 Li
0.2500 0.3295 0.8170 Li
0.7500 0.6705 0.1830 Li
0.2500 0.7431 0.9713 Li
0.7500 0.2569 0.0287 Li
0.2500 0.9323 0.6154 Pr
0.7500 0.0677 0.3846 Pr
0.2500 0.4838 0.1102 Pb
0.7500 0.5162 0.8898 Pb
0.2500 0.1780 0.2016 Pb
0.7500 0.8220 0.7984 Pb
0.2500 0.5942 0.6976 Pb
0.7500 0.4058 0.3024 Pb
0.2500 0.2711 0.5245 Pb
0.7500 0.7289 0.4755 Pb
0.2500 0.8290 0.2874 Pb
0.7500 0.1710 0.7126 Pb
0.2500 0.0552 0.9152 Pb
0.7500 0.9448 0.0848 Pb
```

space group: P2_1/m
calculated total energy: -35.38 eV per formula unit
energy of formation from the pure elements: -0.261 eV per atom

---

(15)
## NaAgSb (PBE)

Data for NaAgSb after structural relaxation.

```
NaAgSb
1.0
-2.2041 1.0550 -3.6368
-4.2389 -1.0438 -0.3732
-2.6594 9.2633 4.2989
Na Ag Sb
2 2 2
Direct
0.1549 0.5607 0.9638 Na
0.1550 0.5607 0.6144 Na
0.8216 0.2273 0.7891 Ag
0.4882 0.8941 0.2891 Ag
0.8215 0.2275 0.1556 Sb
0.8215 0.2275 0.4226 Sb
```

space group: P-6m2
calculated total energy: -8.18 eV per formula unit
energy relative to the lowest polymorph listed for this composition: 282 meV/atom
formation energy without anion corrections: 0.1 eV/f.u.

---

(16)
## TeOsO2 (PBE)

Data for TeOsO2 after structural relaxation.

```
TeOsO2
1.0
1.8108 0.0000 7.9583
-0.9054 1.5682 7.9583
-0.9054 -1.5682 7.9583
Te Os O
1 1 2
Direct
0.0000 0.0000 0.0000 Te
0.5000 0.5000 0.5000 Os
0.8719 0.8719 0.8719 O
0.1281 0.1281 0.1281 O
```

space group: R-3m
calculated total energy: -25.26 eV per formula unit
formation energy without anion corrections: -1.0 eV/f.u.

---

(17)
## KHoGeSe4 (PBE)

Data for KHoGeSe4 after structural relaxation.

```
KHoGeSe4
1.0
6.7550 0.0000 -0.0452
0.0000 7.0439 0.0000
-2.7066 0.0000 8.7324
K Ho Ge Se
2 2 2 8
Direct
0.7546 0.7500 0.9422 K
0.2454 0.2500 0.0578 K
0.7740 0.7500 0.4479 Ho
0.2260 0.2500 0.5521 Ho
0.2274 0.7500 0.3303 Ge
0.7726 0.2500 0.6697 Ge
0.0121 0.5088 0.7092 Se
0.9879 0.0088 0.2908 Se
0.9879 0.4912 0.2908 Se
0.0121 0.9912 0.7092 Se
0.4326 0.7500 0.1642 Se
0.5674 0.2500 0.8358 Se
0.4445 0.7500 0.5862 Se
0.5555 0.2500 0.4138 Se
```

space group: P2_1/m
calculated total energy: -31.96 eV per formula unit
formation energy without anion corrections: -7.7 eV/f.u.

---

(18)
## FeHgOs (PBE)

Data for FeHgOs after structural relaxation.

```
FeHgOs
1.0
7.4163 0.0103 -0.0064
6.6582 2.6791 0.0513
0.7581 -1.1443 2.4117
Fe Hg Os
1 1 1
Direct
0.0098 0.0098 0.9902 Fe
0.3384 0.3384 0.6616 Hg
0.6518 0.6518 0.3482 Os
```

space group: Fmm2
calculated total energy: -18.03 eV per formula unit
energy of formation from the pure elements: 0.656 eV per atom
energy relative to the lowest polymorph listed for this composition: 184 meV/atom

---

(19)
## Sc2ZnPb (PBE)

Data for Sc2ZnPb after structural relaxation.

```
Sc2ZnPb
1.0
-2.8231 0.0991 1.8845
-0.4378 -3.3300 -0.5006
4.2982 -1.5452 6.5202
Pb Sc Zn
1 2 1
Direct
0.5000 0.5000 0.7267 Pb
0.0000 0.0000 0.0120 Sc
0.5000 0.5000 0.2787 Sc
0.0000 0.0000 0.4827 Zn
```

space group: Cmm2
calculated total energy: -18.19 eV per formula unit
energy of formation from the pure elements: -0.136 eV per atom

---

(20)
## TlHg2Pb2 (PBE)

Data for TlHg2Pb2 after structural relaxation.

```
TlHg2Pb2
1.0
4.8162 0.0000 0.0000
0.0000 4.8162 0.0000
2.4081 2.4081 6.8856
Pb Tl Hg
2 1 2
Direct
0.7500 0.2500 0.5000 Pb
0.2500 0.7500 0.5000 Pb
0.0000 0.0000 0.0000 Tl
0.3985 0.3985 0.2029 Hg
0.6015 0.6015 0.7971 Hg
```

space group: I4/mmm
calculated total energy: -10.02 eV per formula unit
energy of formation from the pure elements: 0.073 eV per atom
energy relative to the lowest polymorph listed for this composition: 60 meV/atom